Entry 1:
Below is a geometry-optimized CeTh2Tl structure, with properties calculated at the PBE level.

Results
The total energy comes out at -5.77 eV/atom. As for the volume: 119 Å³/cell. As for the offset from the most stable computed form: 81 meV/atom. Its space group is P4/mmm (123). For the mass density, the calculation gives 11.24 g/cm³.

Structure (POSCAR):
```
CeTh2Tl
1.0
4.127 0.000 0.000
0.000 4.127 0.000
0.000 0.000 7.014
Th Tl Ce
2 1 1
Direct
0.000 0.000 0.243
0.000 0.000 0.757
0.500 0.500 0.000
0.500 0.500 0.500
```

***

Entry 2:
Below is a geometry-optimized MnSb structure, with properties calculated at the PBE level.

Results
The total energy comes out at -6.40 eV/atom. As for the volume: 106 Å³/cell. Its space group is P6_3/mmc (194). As for the energy relative to the elements, uncorrected: 251 meV/atom. For the mass density, the calculation gives 5.55 g/cm³.

Structure (POSCAR):
```
MnSb
1.0
4.703 0.000 0.000
-2.351 4.073 0.000
0.000 0.000 5.517
Sb Mn
2 2
Direct
0.667 0.333 0.250
0.333 0.667 0.750
0.667 0.333 0.750
0.333 0.667 0.250
```